This record from Alexandria describes Y2CrSi after structural relaxation. The functional is GGA-PBE.

Unit cell a=7.8353 b=7.8353 c=6.4368 alpha=52.51 beta=52.51 gamma=90.00
Last column: magnetic moment on the atom in μB.
Element x y z (fractional)
Cr 0.7500 0.2500 0.5000  3.71
Si 0.5000 0.5000 0.0000  0.02
Si 0.2500 0.7500 0.5000  0.02
Y 0.6084 0.1250 0.2500  -0.05
Y 0.1416 0.6250 0.2500  -0.05
Y 0.8750 0.8584 0.7500  -0.04
Y 0.3750 0.3916 0.7500  -0.04
Cr 0.0000 0.0000 0.0000  3.71

Results
**SG**: No. 122
**Energy relative to the elements, uncorrected**: 0.321 eV per atom